## V5W4Au (PBE)

Data for an optimized crystal structure of V5W4Au.

calculated formation energy: -0.034 eV per atom

a b c (Å): 3.113 3.113 15.440
angles (deg): 90.00 90.00 90.00
Positions (direct):
W: 0.000 0.000 0.202
V: 0.500 0.500 0.698
V: 0.500 0.500 0.500
Au: 0.000 0.000 0.000
V: 0.500 0.500 0.889
V: 0.500 0.500 0.111
V: 0.500 0.500 0.302
W: 0.000 0.000 0.401
W: 0.000 0.000 0.798
W: 0.000 0.000 0.599

## VWAu3 (PBE)

Data for an optimized crystal structure of VWAu3.

calculated formation energy: 1.443 eV per atom

a b c (Å): 5.023 5.023 5.023
angles (deg): 90.00 90.00 90.00
Positions (direct):
Au: 0.000 0.000 0.500
Au: 0.500 0.000 0.000
W: 0.000 0.000 0.000
Au: 0.000 0.500 0.000
V: 0.500 0.500 0.500

## V3WAu (PBE)

Data for an optimized crystal structure of V3WAu.

relative energy among the computed polymorphs: 0 meV per atom
calculated formation energy: 1.329 eV per atom

a b c (Å): 4.584 4.584 4.584
angles (deg): 90.00 90.00 90.00
Positions (direct):
V: 0.500 0.000 0.000
V: 0.000 0.500 0.000
V: 0.000 0.000 0.500
W: 0.000 0.000 0.000
Au: 0.500 0.500 0.500

## VW3Au (PBE)

Data for an optimized crystal structure of VW3Au.

relative energy among the computed polymorphs: 1190 meV per atom
calculated formation energy: 2.779 eV per atom

a b c (Å): 4.825 4.825 4.825
angles (deg): 90.00 90.00 90.00
Positions (direct):
W: 0.500 0.000 0.000
W: 0.000 0.500 0.000
W: 0.000 0.000 0.500
V: 0.500 0.500 0.500
Au: 0.000 0.000 0.000

## V12WAu3 (PBE)

Data for an optimized crystal structure of V12WAu3.

calculated formation energy: -0.047 eV per atom

a b c (Å): 4.879 4.878 9.720
angles (deg): 90.00 90.00 90.00
Positions (direct):
V: 0.500 0.000 0.122
V: 0.500 0.000 0.375
V: 0.000 0.754 0.745
Au: 0.500 0.500 0.750
V: 0.252 0.500 0.000
Au: 0.000 0.000 0.000
V: 0.756 0.500 0.500
V: 0.500 0.000 0.625
W: 0.000 0.000 0.500
V: 0.000 0.246 0.255
V: 0.500 0.000 0.878
V: 0.748 0.500 0.000
V: 0.244 0.500 0.500
V: 0.000 0.754 0.255
V: 0.000 0.246 0.745
Au: 0.500 0.500 0.250

## V4WAu (PBE)

Data for an optimized crystal structure of V4WAu.

calculated formation energy: 0.081 eV per atom

a b c (Å): 4.963 4.963 4.963
angles (deg): 60.00 60.00 60.00
Positions (direct):
V: 0.622 0.622 0.622
V: 0.622 0.622 0.134
Au: 0.000 0.000 0.000
V: 0.134 0.622 0.622
W: 0.250 0.250 0.250
V: 0.622 0.134 0.622

## Y2VAu4 (PBE)

Data for an optimized crystal structure of Y2VAu4.

calculated formation energy: -0.127 eV per atom

a b c (Å): 4.918 4.918 8.122
angles (deg): 72.38 72.38 90.00
Positions (direct):
Au: 0.179 0.179 0.642
V: 0.000 0.000 0.000
Au: 0.000 0.500 0.000
Y: 0.627 0.627 0.747
Au: 0.500 0.000 0.000
Au: 0.821 0.821 0.358
Y: 0.373 0.373 0.253

## Y2VAu (PBE)

Data for an optimized crystal structure of Y2VAu.

relative energy among the computed polymorphs: 0 meV per atom
calculated formation energy: -0.165 eV per atom

a b c (Å): 5.097 5.097 5.097
angles (deg): 60.00 60.00 60.00
Positions (direct):
Y: 0.750 0.750 0.750
V: 0.000 0.000 0.000
Y: 0.250 0.250 0.250
Au: 0.500 0.500 0.500

## Y2V2Au (PBE)

Data for an optimized crystal structure of Y2V2Au.

calculated formation energy: 0.082 eV per atom

a b c (Å): 6.859 6.859 4.560
angles (deg): 90.00 90.00 90.00
Positions (direct):
Au: 0.500 0.500 0.000
V: 0.886 0.614 0.000
Y: 0.322 0.178 0.500
Y: 0.678 0.822 0.500
V: 0.614 0.114 0.000
Y: 0.822 0.322 0.500
Au: 0.000 0.000 0.000
V: 0.114 0.386 0.000
V: 0.386 0.886 0.000
Y: 0.178 0.678 0.500

## Y2VAu (PBE)

Data for an optimized crystal structure of Y2VAu.

relative energy among the computed polymorphs: 604 meV per atom
calculated formation energy: 0.438 eV per atom

a b c (Å): 4.475 4.475 10.595
angles (deg): 77.81 77.81 90.00
Positions (direct):
Y: 0.119 0.625 0.250
V: 0.250 0.750 0.500
Au: 0.750 0.250 0.500
Y: 0.375 0.369 0.750
Y: 0.875 0.881 0.750
V: 0.500 0.500 0.000
Au: 0.000 0.000 0.000
Y: 0.631 0.125 0.250

## V2Zn2Au (PBE)

Data for an optimized crystal structure of V2Zn2Au.

relative energy among the computed polymorphs: 65 meV per atom
calculated formation energy: 0.256 eV per atom

a b c (Å): 7.187 7.187 3.054
angles (deg): 90.00 90.00 90.00
Positions (direct):
V: 0.094 0.406 0.000
Zn: 0.700 0.800 0.500
Zn: 0.300 0.200 0.500
Zn: 0.200 0.700 0.500
Zn: 0.800 0.300 0.500
V: 0.906 0.594 0.000
V: 0.594 0.094 0.000
Au: 0.000 0.000 0.000
V: 0.406 0.906 0.000
Au: 0.500 0.500 0.000

## VZn4Au (PBE)

Data for an optimized crystal structure of VZn4Au.

calculated formation energy: 0.051 eV per atom

a b c (Å): 5.058 5.058 5.058
angles (deg): 60.00 60.00 60.00
Positions (direct):
Au: 0.000 0.000 0.000
Zn: 0.625 0.625 0.625
Zn: 0.126 0.625 0.625
V: 0.250 0.250 0.250
Zn: 0.625 0.625 0.126
Zn: 0.625 0.126 0.625

## VZn2Au (PBE)

Data for an optimized crystal structure of VZn2Au.

calculated formation energy: -0.026 eV per atom

a b c (Å): 3.864 4.002 4.002
angles (deg): 90.00 90.00 90.00
Positions (direct):
Au: 0.500 0.000 0.000
Zn: 0.000 0.000 0.500
V: 0.500 0.500 0.500
Zn: 0.000 0.500 0.000

## VZn2Au (PBE)

Data for an optimized crystal structure of VZn2Au.

calculated formation energy: -0.009 eV per atom

a b c (Å): 4.742 5.042 5.103
angles (deg): 90.00 90.00 90.00
Positions (direct):
Au: 0.000 0.000 0.308
Zn: 0.500 0.753 0.332
V: 0.711 0.000 0.819
Zn: 0.500 0.247 0.332
V: 0.289 0.000 0.819
Zn: 0.500 0.500 0.843
Zn: 0.000 0.500 0.092
Au: 0.000 0.500 0.599

## VZn2Au (PBE)

Data for an optimized crystal structure of VZn2Au.

calculated formation energy: 0.025 eV per atom

a b c (Å): 4.898 4.920 5.228
angles (deg): 94.44 98.84 91.47
Positions (direct):
V: 0.617 0.328 0.501
Au: 0.960 0.727 0.827
V: 0.383 0.672 0.499
Zn: 0.145 0.201 0.668
Zn: 0.500 0.000 0.000
Zn: 0.500 0.500 0.000
Au: 0.040 0.273 0.173
Zn: 0.855 0.799 0.332

## V3ZnAu (PBE)

Data for an optimized crystal structure of V3ZnAu.

relative energy among the computed polymorphs: 0 meV per atom
calculated formation energy: 1.176 eV per atom

a b c (Å): 4.453 4.453 4.453
angles (deg): 90.00 90.00 90.00
Positions (direct):
Au: 0.500 0.500 0.500
V: 0.000 0.500 0.000
V: 0.000 0.000 0.500
Zn: 0.000 0.000 0.000
V: 0.500 0.000 0.000

## VZn2Au (PBE)

Data for an optimized crystal structure of VZn2Au.

calculated formation energy: -0.033 eV per atom

a b c (Å): 5.252 5.289 5.187
angles (deg): 119.49 89.93 89.91
Positions (direct):
V: 0.171 0.357 0.229
Zn: 0.417 0.356 0.729
Zn: 0.970 0.857 0.229
Au: 0.880 0.858 0.729
Zn: 0.921 0.358 0.729
Au: 0.466 0.857 0.228
V: 0.671 0.358 0.229
Zn: 0.377 0.856 0.727

## VZn2Au (PBE)

Data for an optimized crystal structure of VZn2Au.

calculated formation energy: -0.051 eV per atom

a b c (Å): 2.776 2.776 7.841
angles (deg): 90.00 90.00 90.00
Positions (direct):
Zn: 0.000 0.000 0.761
V: 0.500 0.500 0.000
Au: 0.500 0.500 0.500
Zn: 0.000 0.000 0.239

## VZnAu3 (PBE)

Data for an optimized crystal structure of VZnAu3.

relative energy among the computed polymorphs: 225 meV per atom
calculated formation energy: 0.860 eV per atom

a b c (Å): 4.964 4.964 4.964
angles (deg): 90.00 90.00 90.00
Positions (direct):
Zn: 0.500 0.500 0.500
V: 0.000 0.000 0.000
Au: 0.500 0.000 0.000
Au: 0.000 0.000 0.500
Au: 0.000 0.500 0.000

## VZn2Au (PBE)

Data for an optimized crystal structure of VZn2Au.

calculated formation energy: 0.316 eV per atom

a b c (Å): 7.179 7.179 5.759
angles (deg): 51.45 51.45 90.00
Positions (direct):
Au: 0.000 0.000 0.000
V: 0.500 0.500 0.000
V: 0.250 0.750 0.500
Zn: 0.375 0.366 0.750
Zn: 0.116 0.625 0.250
Zn: 0.875 0.884 0.750
Au: 0.750 0.250 0.500
Zn: 0.634 0.125 0.250